[1]
Crystalline Cr2AsW at its relaxed geometry. Source: Alexandria via LeMat-Bulk, functional PBE.

Calculated values
Energy of formation from the pure elements   0.368 eV per atom

a b c (Å): 4.8917 4.8917 2.7803
angles (deg): 79.01 79.01 116.20
Fractional coordinates of all 4 atoms:
As (0.0000, 0.5000, 0.5000)
Cr (0.0000, 0.0000, 0.0000)
Cr (0.5000, 0.5000, 0.0000)
W (0.5000, 0.0000, 0.5000)

---

[2]
Crystalline CrAsW2 at its relaxed geometry. Source: Alexandria via LeMat-Bulk, functional PBE.

Calculated values
Energy of formation from the pure elements   0.260 eV per atom

a b c (Å): 4.3650 2.8841 4.9751
angles (deg): 73.75 90.00 90.00
Fractional coordinates of all 4 atoms:
As (0.0000, 0.6781, 0.5183)
Cr (0.5000, 0.6641, 0.7546)
W (0.0000, 0.9760, 0.9777)
W (0.5000, 0.1817, 0.2494)

---

[3]
Crystalline CrAs2W at its relaxed geometry. Source: Alexandria via LeMat-Bulk, functional PBE.

Calculated values
Energy of formation from the pure elements   0.307 eV per atom

a b c (Å): 4.3819 4.3819 5.0626
angles (deg): 83.71 83.71 42.29
Fractional coordinates of all 4 atoms:
As (0.9832, 0.9832, 0.0157)
As (0.5168, 0.5168, 0.4843)
Cr (0.7500, 0.7500, 0.7500)
W (0.2500, 0.2500, 0.2500)

---

[4]
Crystalline CrAsW2 at its relaxed geometry. Source: Alexandria via LeMat-Bulk, functional PBE.

Calculated values
Energy of formation from the pure elements   0.432 eV per atom

a b c (Å): 2.7966 2.7966 8.2878
angles (deg): 90.00 90.00 110.28
Fractional coordinates of all 4 atoms:
As (0.5000, 0.5000, 0.2500)
Cr (0.5000, 0.5000, 0.7500)
W (0.0000, 0.0000, 0.9897)
W (0.0000, 0.0000, 0.5103)

---

[5]
Crystalline CrAsW2 at its relaxed geometry. Source: Alexandria via LeMat-Bulk, functional PBE.

Calculated values
Energy of formation from the pure elements   0.332 eV per atom

a b c (Å): 2.9745 4.0070 5.0729
angles (deg): 90.00 90.00 90.00
Fractional coordinates of all 4 atoms:
As (0.0000, 0.0000, 0.5087)
Cr (0.5000, 0.5000, 0.7410)
W (0.0000, 0.0000, 0.0003)
W (0.5000, 0.5000, 0.2500)

---

[6]
Crystalline CrAs2W at its relaxed geometry. Source: Alexandria via LeMat-Bulk, functional PBE.

Calculated values
Energy of formation from the pure elements   0.114 eV per atom

a b c (Å): 3.0381 3.0381 7.5371
angles (deg): 90.00 90.00 90.00
Fractional coordinates of all 4 atoms:
As (0.0000, 0.0000, 0.9359)
As (0.5000, 0.5000, 0.3299)
Cr (0.0000, 0.0000, 0.5245)
W (0.5000, 0.5000, 0.7097)